w | ## FeCo2Cl (PBE)

Data for a geometry-optimized FeCo2Cl structure.

Results
**Crystal system**: tetragonal
**Calculated volume**: 12.96 Å³ per atom
**Total magnetic moment**: 6.7 Bohr magnetons per cell

```
FeCo2Cl
1.0
-0.2473 0.2581 4.8637
3.9124 -1.2765 2.6166
-1.0123 2.8537 -3.8229
Cl Co Fe
1 2 1
Direct
0.7500 0.2500 0.5000 Cl
0.2500 0.7500 0.5000 Co
0.0000 0.0000 0.0000 Co
0.5000 0.5000 0.0000 Fe
```


x | ## FeCo2Cl (PBE)

Data for a geometry-optimized FeCo2Cl structure.

Results
**Crystal system**: orthorhombic
**Calculated volume**: 12.49 Å³ per atom
**Total magnetic moment**: 6.0 Bohr magnetons per cell

```
FeCo2Cl
1.0
4.9552 0.0049 0.0012
2.3862 4.3428 -0.0012
-3.1724 -3.0153 2.3234
Fe Cl Co
1 1 2
Direct
0.4833 0.4833 0.0000 Fe
0.2422 0.7422 0.5000 Cl
0.0149 0.0149 0.0000 Co
0.7597 0.2597 0.5000 Co
```


y | ## FeCo2Cl (PBE)

Data for a geometry-optimized FeCo2Cl structure.

Results
**Crystal system**: monoclinic
**Calculated volume**: 15.97 Å³ per atom
**Total magnetic moment**: 6.4 Bohr magnetons per cell

```
FeCo2Cl
1.0
3.9752 0.0236 0.3535
2.9499 2.6647 0.3535
3.3252 1.2908 6.4094
Cl Fe Co
1 1 2
Direct
0.2500 0.2500 0.2500 Cl
0.7500 0.7500 0.7500 Fe
0.9349 0.9349 0.9242 Co
0.5651 0.5651 0.5758 Co
```


z | ## FeCo2Cl (PBE)

Data for a geometry-optimized FeCo2Cl structure.

Results
**Crystal system**: orthorhombic
**Calculated volume**: 12.45 Å³ per atom
**Total magnetic moment**: 5.9 Bohr magnetons per cell

```
FeCo2Cl
1.0
4.9283 0.0062 0.0007
2.2999 4.3588 -0.0007
-3.0771 -3.0718 2.3204
Co Cl Fe
2 1 1
Direct
0.0150 0.0150 0.0000 Co
0.4850 0.4850 0.0000 Co
0.2500 0.7500 0.5000 Cl
0.7500 0.2500 0.5000 Fe
```


Which structure is the least stable? The one labeled w.


w | ## FeCo2Cl (PBE)

Data for a geometry-optimized FeCo2Cl structure.

Results
**Crystal system**: cubic
**Calculated volume**: 12.76 Å³ per atom
**Total magnetic moment**: 6.1 Bohr magnetons per cell

```
FeCo2Cl
1.0
4.1641 0.0000 0.0000
2.0820 3.6062 0.0000
2.0820 1.2021 3.3999
Cl Co Fe
1 2 1
Direct
0.5000 0.5000 0.5000 Cl
0.2500 0.2500 0.2500 Co
0.0000 0.0000 0.0000 Co
0.7500 0.7500 0.7500 Fe
```


x | ## FeCo2Cl (PBE)

Data for a geometry-optimized FeCo2Cl structure.

Results
**Crystal system**: trigonal
**Calculated volume**: 13.12 Å³ per atom
**Total magnetic moment**: 6.2 Bohr magnetons per cell

```
FeCo2Cl
1.0
7.6065 0.0049 0.0029
7.0684 2.8100 0.0029
7.0684 1.3558 2.4613
Co Cl Fe
2 1 1
Direct
0.9976 0.9976 0.9976 Co
0.5024 0.5024 0.5024 Co
0.7500 0.7500 0.7500 Cl
0.2500 0.2500 0.2500 Fe
```


y | ## FeCo2Cl (PBE)

Data for a geometry-optimized FeCo2Cl structure.

Results
**Crystal system**: trigonal
**Calculated volume**: 13.10 Å³ per atom
**Total magnetic moment**: 6.3 Bohr magnetons per cell

```
FeCo2Cl
1.0
7.7592 -0.0504 -0.0297
7.2634 2.7298 -0.0297
7.2634 1.2955 2.4030
Co Fe Cl
2 1 1
Direct
0.9957 0.9957 0.9957 Co
0.2503 0.2503 0.2503 Co
0.5007 0.5007 0.5007 Fe
0.7532 0.7532 0.7532 Cl
```


Which structure is the least stable? The one labeled w.